This record from the Open Quantum Materials Database describes crystalline TmTeAuO at its relaxed geometry. The functional is GGA-PBE.

a b c (Å): 5.621 5.621 10.069
angles (deg): 90.00 90.00 90.00
Positions (direct):
Au 0.250 0.250 0.500
Au 0.750 0.250 0.500
Au 0.250 0.750 0.500
Au 0.750 0.750 0.500
O 0.250 0.250 0.000
O 0.750 0.250 0.000
O 0.250 0.750 0.000
O 0.750 0.750 0.000
Te 0.500 0.000 0.282
Te 0.000 0.500 0.282
Te 0.500 0.500 0.717
Te 0.000 0.000 0.718
Tm 0.000 0.000 0.104
Tm 0.500 0.500 0.104
Tm 0.500 0.000 0.897
Tm 0.000 0.500 0.897

Calculated values
**E above lowest polymorph**: 0.040 eV per atom



This record from the Open Quantum Materials Database describes crystalline TmTeAuO at its relaxed geometry. The functional is GGA-PBE.

a b c (Å): 4.384 6.517 6.689
angles (deg): 90.00 90.00 90.00
Positions (direct):
Au 0.000 0.263 0.132
Au 0.000 0.737 0.632
O 0.500 0.072 0.167
O 0.500 0.928 0.667
Te 0.000 0.658 0.227
Te 0.000 0.342 0.727
Tm 0.500 0.166 0.465
Tm 0.500 0.834 0.965

Calculated values
**E above lowest polymorph**: 0.460 eV per atom



This record from the Open Quantum Materials Database describes crystalline TmTeAuO at its relaxed geometry. The functional is GGA-PBE.

a b c (Å): 5.603 5.603 10.173
angles (deg): 90.00 90.00 90.00
Positions (direct):
Au 0.686 0.186 0.493
Au 0.186 0.314 0.493
Au 0.814 0.686 0.493
Au 0.314 0.814 0.493
O 0.749 0.249 0.002
O 0.249 0.251 0.002
O 0.751 0.749 0.002
O 0.251 0.751 0.002
Te 0.000 0.000 0.285
Te 0.500 0.500 0.285
Te 0.500 0.000 0.723
Te 0.000 0.500 0.723
Tm 0.500 0.000 0.104
Tm 0.000 0.500 0.104
Tm 0.000 0.000 0.898
Tm 0.500 0.500 0.898

Calculated values
**E above lowest polymorph**: 0.025 eV per atom



E above lowest polymorph of number 3 (TmTeAuO)? 0.025 eV per atom



What is the E above lowest polymorph in the second record? 0.460 eV per atom



E above lowest polymorph of number 2 (TmTeAuO)? 0.460 eV per atom



Please write out number 2 again, unchanged.
This record from the Open Quantum Materials Database describes crystalline TmTeAuO at its relaxed geometry. The functional is GGA-PBE.

a b c (Å): 4.384 6.517 6.689
angles (deg): 90.00 90.00 90.00
Positions (direct):
Au 0.000 0.263 0.132
Au 0.000 0.737 0.632
O 0.500 0.072 0.167
O 0.500 0.928 0.667
Te 0.000 0.658 0.227
Te 0.000 0.342 0.727
Tm 0.500 0.166 0.465
Tm 0.500 0.834 0.965

Calculated values
**E above lowest polymorph**: 0.460 eV per atom